[1]
A relaxed SrY2Te crystal, computed with PBE.

Cell lengths 7.015, 7.015, 5.725 Å; angles 114.02, 114.02, 32.03 degrees
Element x y z (fractional)
Sr: 0.000 0.000 0.000
Y: 0.208 0.208 0.708
Y: 0.792 0.792 0.292
Te: 0.500 0.500 0.500

As for the energy relative to the elements, uncorrected: -0.546 eV/atom. The total magnetization is 0.0 μB/cell. The space group is No. 12. The calculation puts the density of states at the Fermi level at 3.372 states/eV/cell. The value obtained for the theoretical density is 4.82 Mg/m³.

[2]
A relaxed SrY2Te crystal, computed with PBE.

Cell lengths 6.487, 6.487, 6.487 Å; angles 136.62, 136.62, 63.02 degrees
Element x y z (fractional)
Sr: 0.000 0.000 0.000
Y: 0.500 0.500 0.000
Y: 0.750 0.250 0.500
Te: 0.250 0.750 0.500

As for the energy relative to the elements, uncorrected: -0.303 eV/atom. The total magnetization is 0.0 μB/cell. The space group is No. 119. The calculation puts the density of states at the Fermi level at 4.946 states/eV/cell. The value obtained for the theoretical density is 5.13 Mg/m³.

[3]
A relaxed SrY4Te crystal, computed with PBE.

Cell lengths 6.733, 6.733, 6.733 Å; angles 60.00, 60.00, 60.00 degrees
Element x y z (fractional)
Sr: 0.000 0.000 0.000
Y: 0.374 0.374 0.374
Y: 0.374 0.374 0.879
Y: 0.374 0.879 0.374
Y: 0.879 0.374 0.374
Te: 0.750 0.750 0.750

As for the energy relative to the elements, uncorrected: 0.153 eV/atom. The total magnetization is 0.0 μB/cell. The space group is No. 216. The calculation puts the density of states at the Fermi level at 9.675 states/eV/cell. The value obtained for the theoretical density is 4.39 Mg/m³.

[4]
A relaxed SrY2Te crystal, computed with PBE.

Cell lengths 6.635, 6.635, 6.635 Å; angles 137.78, 137.78, 61.23 degrees
Element x y z (fractional)
Sr: 0.000 0.000 0.000
Y: 0.250 0.750 0.500
Y: 0.750 0.250 0.500
Te: 0.500 0.500 0.000

As for the energy relative to the elements, uncorrected: -0.341 eV/atom. The total magnetization is 0.0 μB/cell. The space group is No. 139. The calculation puts the density of states at the Fermi level at 5.510 states/eV/cell. The value obtained for the theoretical density is 5.00 Mg/m³.

[5]
A relaxed SrYTe3 crystal, computed with PBE.

Cell lengths 5.851, 5.851, 5.851 Å; angles 90.00, 90.00, 90.00 degrees
Element x y z (fractional)
Sr: 0.000 0.000 0.000
Y: 0.500 0.500 0.500
Te: 0.000 0.500 0.500
Te: 0.500 0.000 0.500
Te: 0.500 0.500 0.000

As for the energy relative to the elements, uncorrected: -1.008 eV/atom. The total magnetization is 0.0 μB/cell. For the energy above the lowest structure with this stoichiometry, the calculation gives 0 meV per atom. The space group is No. 221. The calculation puts the density of states at the Fermi level at 3.371 states/eV/cell. The value obtained for the theoretical density is 4.64 Mg/m³.

[6]
A relaxed SrYTe3 crystal, computed with PBE.

Cell lengths 5.929, 5.929, 5.929 Å; angles 90.00, 90.00, 90.00 degrees
Element x y z (fractional)
Sr: 0.000 0.000 0.000
Y: 0.500 0.500 0.500
Te: 0.000 0.000 0.500
Te: 0.000 0.500 0.000
Te: 0.500 0.000 0.000

As for the energy relative to the elements, uncorrected: -0.134 eV/atom. The total magnetization is 0.0 μB/cell. For the energy above the lowest structure with this stoichiometry, the calculation gives 874 meV per atom. The space group is No. 221. The calculation puts the density of states at the Fermi level at 8.466 states/eV/cell. The value obtained for the theoretical density is 4.46 Mg/m³.

[7]
A relaxed Sr2YTe2 crystal, computed with PBE.

Cell lengths 8.594, 8.594, 4.563 Å; angles 90.00, 90.00, 90.00 degrees
Element x y z (fractional)
Sr: 0.153 0.347 0.000
Sr: 0.347 0.847 0.000
Sr: 0.653 0.153 0.000
Sr: 0.847 0.653 0.000
Y: 0.000 0.000 0.500
Y: 0.500 0.500 0.500
Te: 0.157 0.657 0.500
Te: 0.343 0.157 0.500
Te: 0.657 0.843 0.500
Te: 0.843 0.343 0.500

As for the energy relative to the elements, uncorrected: -1.135 eV/atom. The total magnetization is 0.0 μB/cell. The space group is No. 127. The calculation puts the density of states at the Fermi level at 11.204 states/eV/cell. The value obtained for the theoretical density is 5.12 Mg/m³.

[8]
A relaxed SrY2Te crystal, computed with PBE.

Cell lengths 4.152, 8.196, 8.196 Å; angles 31.21, 90.00, 90.00 degrees
Element x y z (fractional)
Sr: 0.000 0.000 0.000
Y: 0.000 0.267 0.267
Y: 0.500 0.650 0.650
Te: 0.500 0.419 0.419

As for the energy relative to the elements, uncorrected: -0.514 eV/atom. The total magnetization is 0.0 μB/cell. The space group is No. 38. The calculation puts the density of states at the Fermi level at 2.810 states/eV/cell. The value obtained for the theoretical density is 4.52 Mg/m³.

[9]
A relaxed SrY2Te crystal, computed with PBE.

Cell lengths 5.379, 5.379, 4.276 Å; angles 90.00, 90.00, 90.15 degrees
Element x y z (fractional)
Sr: 0.000 0.000 0.000
Y: 0.000 0.500 0.500
Y: 0.500 0.000 0.500
Te: 0.500 0.500 0.000

As for the energy relative to the elements, uncorrected: -0.275 eV/atom. The total magnetization is 0.0 μB/cell. The space group is No. 65. The calculation puts the density of states at the Fermi level at 3.691 states/eV/cell. The value obtained for the theoretical density is 5.27 Mg/m³.

[10]
A relaxed SrY2Te crystal, computed with PBE.

Cell lengths 5.687, 5.687, 5.687 Å; angles 60.00, 60.00, 60.00 degrees
Element x y z (fractional)
Sr: 0.000 0.000 0.000
Y: 0.500 0.500 0.500
Y: 0.750 0.750 0.750
Te: 0.250 0.250 0.250

As for the energy relative to the elements, uncorrected: -0.093 eV/atom. The total magnetization is 1.2 μB/cell. The space group is No. 216. The calculation puts the density of states at the Fermi level at 6.971 states/eV/cell. The value obtained for the theoretical density is 5.02 Mg/m³.

[11]
A relaxed SrY2Te2 crystal, computed with PBE.

Cell lengths 8.340, 8.340, 8.340 Å; angles 147.75, 147.75, 46.26 degrees
Element x y z (fractional)
Sr: 0.000 0.000 0.000
Y: 0.250 0.750 0.500
Y: 0.750 0.250 0.500
Te: 0.387 0.387 0.000
Te: 0.613 0.613 0.000

As for the energy relative to the elements, uncorrected: -0.917 eV/atom. The total magnetization is 1.4 μB/cell. For the energy above the lowest structure with this stoichiometry, the calculation gives 84 meV per atom. The space group is No. 139. The calculation puts the density of states at the Fermi level at 3.253 states/eV/cell. The value obtained for the theoretical density is 5.25 Mg/m³.

[12]
A relaxed SrY3Te crystal, computed with PBE.

Cell lengths 5.686, 5.686, 5.686 Å; angles 90.00, 90.00, 90.00 degrees
Element x y z (fractional)
Sr: 0.000 0.000 0.000
Y: 0.000 0.000 0.500
Y: 0.000 0.500 0.000
Y: 0.500 0.000 0.000
Te: 0.500 0.500 0.500

As for the energy relative to the elements, uncorrected: 0.971 eV/atom. The total magnetization is 0.0 μB/cell. For the energy above the lowest structure with this stoichiometry, the calculation gives 1129 meV per atom. The space group is No. 221. The calculation puts the density of states at the Fermi level at 5.984 states/eV/cell. The value obtained for the theoretical density is 4.35 Mg/m³.

Which of these has the lowest theoretical density?
SrY3Te

What is the energy relative to the elements, uncorrected in the tenth record?
-0.093 eV/atom

Copy entry 1 word for word.
A relaxed SrY2Te crystal, computed with PBE.

Cell lengths 7.015, 7.015, 5.725 Å; angles 114.02, 114.02, 32.03 degrees
Element x y z (fractional)
Sr: 0.000 0.000 0.000
Y: 0.208 0.208 0.708
Y: 0.792 0.792 0.292
Te: 0.500 0.500 0.500

As for the energy relative to the elements, uncorrected: -0.546 eV/atom. The total magnetization is 0.0 μB/cell. The space group is No. 12. The calculation puts the density of states at the Fermi level at 3.372 states/eV/cell. The value obtained for the theoretical density is 4.82 Mg/m³.

Please write out number 9 again, unchanged.
A relaxed SrY2Te crystal, computed with PBE.

Cell lengths 5.379, 5.379, 4.276 Å; angles 90.00, 90.00, 90.15 degrees
Element x y z (fractional)
Sr: 0.000 0.000 0.000
Y: 0.000 0.500 0.500
Y: 0.500 0.000 0.500
Te: 0.500 0.500 0.000

As for the energy relative to the elements, uncorrected: -0.275 eV/atom. The total magnetization is 0.0 μB/cell. The space group is No. 65. The calculation puts the density of states at the Fermi level at 3.691 states/eV/cell. The value obtained for the theoretical density is 5.27 Mg/m³.